VASP calculation (PBE) on Zr4ScTl2 after structural relaxation.

abc: 7.770 6.053 8.125
angles: 90.00 120.07 90.00
Positions (direct):
Sc 0.755 0.250 0.672
Sc 0.245 0.750 0.328
Zr 0.135 0.750 0.909
Zr 0.589 0.497 0.228
Zr 0.411 0.503 0.772
Zr 0.589 0.003 0.228
Zr 0.865 0.250 0.091
Zr 0.972 0.750 0.489
Zr 0.411 0.997 0.772
Zr 0.028 0.250 0.511
Tl 0.812 0.750 0.045
Tl 0.331 0.250 0.388
Tl 0.669 0.750 0.612
Tl 0.188 0.250 0.955

- Calculated total energy: -0.2371 Ha/atom
- Symmetry: P2_1/m (11)
- Magnetic moment: 0.00 μB/cell
- Crystal system: monoclinic

VASP calculation (PBE) on AgIr3Cl after structural relaxation.

abc: 4.942 4.942 4.942
angles: 90.00 90.00 90.00
Positions (direct):
Ir 0.000 0.000 0.500
Ir 0.500 0.000 0.000
Ir 0.000 0.500 0.000
Cl 0.500 0.500 0.500
Ag 0.000 0.000 0.000

- Calculated total energy: -0.1347 Ha/atom
- Energy relative to the lowest polymorph listed for this composition: 105.8 kJ per mole of atoms
- Symmetry: Pm-3m (221)
- ΔE_f (raw): 249.94 kJ/mol of atoms
- Magnetic moment: 5.31 μB/cell
- Crystal system: cubic

VASP calculation (PBE) on Ho6Te3C2Se after structural relaxation.

abc: 3.912 8.343 9.200
angles: 105.65 102.28 90.00
Positions (direct):
Te 0.843 0.166 0.686
Te 0.500 0.500 0.000
Te 0.157 0.834 0.314
Ho 0.031 0.257 0.062
Ho 0.327 0.859 0.654
Ho 0.969 0.743 0.938
Ho 0.673 0.141 0.346
Ho 0.318 0.448 0.636
Ho 0.682 0.552 0.364
C 0.171 0.337 0.342
C 0.829 0.663 0.658
Se 0.500 0.000 0.000

- Calculated total energy: -0.2217 Ha/atom
- Symmetry: C2/m (12)
- ΔE_f (raw): -109.07 kJ/mol of atoms
- Magnetic moment: 0.00 μB/cell
- Crystal system: monoclinic

VASP calculation (PBE) on SbMoRh2 after structural relaxation.

abc: 4.498 4.498 4.498
angles: 60.00 60.00 60.00
Positions (direct):
Rh 0.000 0.000 0.000
Rh 0.250 0.250 0.250
Mo 0.500 0.500 0.500
Sb 0.750 0.750 0.750

- Calculated total energy: -0.2736 Ha/atom
- Symmetry: F-43m (216)
- ΔE_f (raw): -3.03 kJ/mol of atoms
- Magnetic moment: 0.00 μB/cell
- Crystal system: cubic

VASP calculation (PBE) on Dy6Y16Ho7 after structural relaxation.

abc: 11.132 11.132 11.132
angles: 60.00 60.00 60.00
Positions (direct):
Y 0.368 0.877 0.877
Y 0.632 0.123 0.123
Y 0.045 0.652 0.652
Y 0.652 0.652 0.652
Y 0.877 0.368 0.877
Y 0.123 0.123 0.632
Y 0.652 0.045 0.652
Y 0.877 0.877 0.877
Y 0.877 0.877 0.368
Y 0.955 0.348 0.348
Y 0.123 0.123 0.123
Y 0.348 0.348 0.348
Y 0.652 0.652 0.045
Y 0.348 0.955 0.348
Y 0.123 0.632 0.123
Y 0.348 0.348 0.955
Ho 0.000 0.500 0.500
Ho 0.000 0.000 0.000
Ho 0.500 0.000 0.000
Ho 0.500 0.000 0.500
Ho 0.500 0.500 0.000
Ho 0.000 0.500 0.000
Ho 0.000 0.000 0.500
Dy 0.276 0.276 0.724
Dy 0.724 0.724 0.276
Dy 0.276 0.724 0.276
Dy 0.276 0.724 0.724
Dy 0.724 0.276 0.724
Dy 0.724 0.276 0.276

- Calculated total energy: -0.1975 Ha/atom
- Symmetry: Fm-3m (225)
- Magnetic moment: 0.05 μB/cell
- Crystal system: cubic

VASP calculation (PBE) on LiLaEuTc after structural relaxation.

abc: 5.109 5.109 5.109
angles: 60.00 60.00 60.00
Positions (direct):
Tc 0.500 0.500 0.500
Li 0.000 0.000 0.000
Eu 0.750 0.750 0.750
La 0.250 0.250 0.250

- Calculated total energy: -0.2437 Ha/atom
- Symmetry: F-43m (216)
- Magnetic moment: 6.83 μB/cell
- Crystal system: cubic